Fe2AsBr: optimized geometry, GGA-PBEsol.

Values from the calculation:
As for the crystal system: cubic. Its formation energy from raw total energies is 903 meV/atom. The energy above the most stable polymorph in this dataset comes out at 0.806 eV/atom.

Lattice parameters (Å, degrees): 4.476 4.476 4.476 60.00 60.00 60.00
Sites, in units of the cell vectors:
As 0.500 0.500 0.500
Br 0.250 0.250 0.250
Fe 0.000 0.000 0.000
Fe 0.750 0.750 0.750